DFT (GGA+U) results for Ni3HgO after structural relaxation.

The structure in CIF format:
```
data_Ni3HgO
_symmetry_space_group_name_H-M 'P m -3 m'
_symmetry_Int_Tables_number 221
_symmetry_space_group_name_Hall '-P 4 2 3'
_cell_length_a 4.029
_cell_length_b 4.029
_cell_length_c 4.029
_cell_angle_alpha 90.00
_cell_angle_beta 90.00
_cell_angle_gamma 90.00
loop_
_atom_site_label
_atom_site_type_symbol
_atom_site_fract_x
_atom_site_fract_y
_atom_site_fract_z
Ni1 Ni 0.000 0.000 0.500
Hg1 Hg 0.500 0.500 0.500
O1 O 0.000 0.000 0.000
```

Computed properties:
Offset from the most stable computed form = 0 meV per atom
Raw total energy = -2.531 eV per atom